Material: Cs2TePdF
Method: DFT, PBE
State: relaxed

The structure in CIF format:
```
data_Cs2TePdF
_chemical_formula_sum 'Cs2 Te1 Pd1 F1'
_symmetry_space_group_name_H-M 'P 1'
_symmetry_Int_Tables_number 1
_cell_length_a 7.246
_cell_length_b 7.246
_cell_length_c 4.946
_cell_angle_alpha 90.00
_cell_angle_beta 90.00
_cell_angle_gamma 90.00
loop_
_symmetry_equiv_pos_as_xyz
'x,y,z'
loop_
_atom_site_label
_atom_site_type_symbol
_atom_site_fract_x
_atom_site_fract_y
_atom_site_fract_z
Cs1 Cs 0.000 0.500 0.000
Cs2 Cs 0.500 0.000 0.000
Te1 Te 0.000 0.000 0.000
Pd1 Pd 0.000 0.000 0.500
F1 F 0.500 0.500 0.500
```

Summary:
The energy relative to the elements, uncorrected is -443 kJ/mol of formula units. The space group is P4/mmm (123). As for the density of states at the Fermi level: 9.6 states/eV per cell. The final energy comes out at -3.3017 eV/atom. Its crystal system is tetragonal.